Compound: FeAs2Rh
Source: Alexandria via LeMat-Bulk
Functional: PBE
Structure: optimized geometry

a b c (Å): 4.133 4.133 5.228
angles (deg): 77.61 77.61 42.27
Sites, in units of the cell vectors:
Fe: 0.750 0.750 0.750
As: 0.004 0.004 0.982
As: 0.496 0.496 0.518
Rh: 0.250 0.250 0.250

Values from the calculation:
M_tot, Bohr magnetons per cell: 1.846
ΔE_f, eV/atom: -0.0459
Final energy, eV per atom: -6.32
Space group: C2/m, No. 12